# 1
Here is a relaxed structure of Ba2TlRu from Alexandria via LeMat-Bulk. Energies are from PBE.

Cell: 8.9357 8.9357 8.9357 Å, 30.92 30.92 30.92°
Element x y z (fractional)
Ba1 0.0000 0.0000 0.0000
Ba2 0.1680 0.1680 0.1680
Tl1 0.4172 0.4172 0.4172
Ru1 0.7511 0.7511 0.7511

Results
Energy above the lowest structure with this stoichiometry ... 0.000 eV per atom
Mass density ... 5.76 g/cm³
VASP energy ... -3.78 eV/atom
Formation enthalpy at 0 K ... 94 meV per atom
Symmetry ... R3m
Size of the total moment ... 0.00 μB/f.u.

# 2
Here is a relaxed structure of BaTlRu2 from Alexandria via LeMat-Bulk. Energies are from PBE.

Cell: 4.7959 4.7959 3.7521 Å, 90.00 90.00 90.00°
Element x y z (fractional)
Ba1 0.0000 0.0000 0.0000
Tl1 0.5000 0.5000 0.0000
Ru1 0.0000 0.5000 0.5000
Ru2 0.5000 0.0000 0.5000

Results
Energy above the lowest structure with this stoichiometry ... 0.639 eV per atom
Mass density ... 10.46 g/cm³
VASP energy ... -4.83 eV/atom
Formation enthalpy at 0 K ... 878 meV per atom
Symmetry ... P4/mmm
Size of the total moment ... 2.00 μB/f.u.

# 3
Here is a relaxed structure of BaTlRu2 from Alexandria via LeMat-Bulk. Energies are from PBE.

Cell: 3.1879 4.2635 6.9342 Å, 90.00 90.00 90.00°
Element x y z (fractional)
Ba1 0.0000 0.0000 0.0000
Tl1 0.0000 0.0000 0.5000
Ru1 0.5000 0.5000 0.3283
Ru2 0.5000 0.5000 0.6717

Results
Energy above the lowest structure with this stoichiometry ... 0.466 eV per atom
Mass density ... 9.58 g/cm³
VASP energy ... -5.01 eV/atom
Formation enthalpy at 0 K ... 705 meV per atom
Symmetry ... Pmmm
Size of the total moment ... 1.02 μB/f.u.

# 4
Here is a relaxed structure of BaTlRu2 from Alexandria via LeMat-Bulk. Energies are from PBE.

Cell: 10.3686 10.3686 10.3686 Å, 17.42 17.42 17.42°
Element x y z (fractional)
Ba1 0.0000 0.0000 0.0000
Tl1 0.2287 0.2287 0.2287
Ru1 0.4851 0.4851 0.4851
Ru2 0.7576 0.7576 0.7576

Results
Energy above the lowest structure with this stoichiometry ... 0.604 eV per atom
Mass density ... 10.36 g/cm³
VASP energy ... -4.87 eV/atom
Formation enthalpy at 0 K ... 843 meV per atom
Symmetry ... R3m
Size of the total moment ... 0.00 μB/f.u.

# 5
Here is a relaxed structure of Ba2TlRu from Alexandria via LeMat-Bulk. Energies are from PBE.

Cell: 4.9103 4.6516 6.7011 Å, 90.00 111.48 90.00°
Element x y z (fractional)
Ba1 0.0000 0.0000 0.0000
Ba2 0.2797 0.5000 0.5594
Tl1 0.5775 0.5000 0.1551
Ru1 0.6928 0.0000 0.3902

Results
Energy above the lowest structure with this stoichiometry ... 0.047 eV per atom
Mass density ... 6.76 g/cm³
VASP energy ... -3.73 eV/atom
Formation enthalpy at 0 K ... 141 meV per atom
Symmetry ... Pm
Size of the total moment ... 0.00 μB/f.u.

# 6
Here is a relaxed structure of BaTlRu2 from Alexandria via LeMat-Bulk. Energies are from PBE.

Cell: 8.8734 8.8734 8.8734 Å, 22.26 22.26 22.26°
Element x y z (fractional)
Ba1 0.0000 0.0000 0.0000
Tl1 0.5000 0.5000 0.5000
Ru1 0.2433 0.2433 0.2433
Ru2 0.7567 0.7567 0.7567

Results
Energy above the lowest structure with this stoichiometry ... 0.756 eV per atom
Mass density ... 10.27 g/cm³
VASP energy ... -4.71 eV/atom
Formation enthalpy at 0 K ... 995 meV per atom
Symmetry ... R-3m
Size of the total moment ... 0.56 μB/f.u.